Density functional theory data (PBE) for a geometry-optimized TlV2NiCl structure.

As for the size of the total moment: 0.00 μB per cell. As for the space group: P4/mmm (123). The calculation puts the calculated density at 7.0 g cm⁻³. The calculation puts the energy at -23.33 eV for the cell shown. The formation energy without anion corrections is 4.90 eV/f.u. As for the crystal system: tetragonal. As for the volume: 94 Å³ per cell.

Geometry as POSCAR:
```
TlV2NiCl
1.0
-2.724 1.945 3.230
-3.430 -0.363 -2.674
-0.923 -4.207 1.755
Ni V Tl Cl
1 2 1 1
Direct
0.000 0.000 0.000
0.500 0.000 0.000
0.000 0.000 0.500
0.500 0.500 0.500
0.000 0.500 0.000
```